No. 1
DFT (PBE) results for a relaxed LiPr3Sn2 crystal.

E_form: -0.53 eV/atom
DFT total energy: -4.57 eV per atom
space-group type: No. 72
magnetic moment: 3.62 μB per cell

```
LiPr3Sn2
1.0
-5.6783 3.1022 1.2171
-0.0264 -2.4143 6.0302
7.1788 6.4936 -0.8671
Li Pr Sn
2 6 4
Direct
0.0000 0.2500 0.0000
0.0000 0.7500 0.0000
0.4263 0.6793 0.3586
0.5737 0.3207 0.6414
0.0677 0.8207 0.6414
0.9323 0.1793 0.3586
0.5000 0.7500 0.0000
0.5000 0.2500 0.0000
0.3674 0.1297 0.2594
0.6326 0.8703 0.7406
0.1081 0.3703 0.7406
0.8919 0.6297 0.2594
```


No. 2
DFT (PBE) results for a relaxed NbAlPbSe2 crystal.

DFT total energy: -4.77 eV per atom
space-group type: No. 123
magnetic moment: 0.00 μB per cell
E_form (uncorrected): 0.66 eV per formula unit

```
NbAlPbSe2
1.0
-3.4851 -2.2745 2.7897
3.2421 -4.6395 0.2676
2.1767 1.7608 4.1549
Pb Nb Al Se
1 1 1 2
Direct
0.0000 0.5000 0.0000
0.0000 0.0000 0.0000
0.5000 0.5000 0.5000
0.0000 0.0000 0.5000
0.5000 0.0000 0.0000
```


No. 3
DFT (PBE) results for a relaxed Cs2LaGeCl6 crystal.

DFT total energy: -3.96 eV per atom
space-group type: No. 139
magnetic moment: 1.00 μB per cell
E_form (uncorrected): -17.29 eV per formula unit

```
Cs2LaGeCl6
1.0
7.7346 0.0000 0.0000
0.0000 7.7346 0.0000
3.8673 3.8673 6.4107
Cs Ge Cl La
2 1 6 1
Direct
0.7500 0.2500 0.5000
0.2500 0.7500 0.5000
0.5000 0.5000 0.0000
0.2158 0.2158 0.5685
0.7842 0.7842 0.4315
0.2541 0.2541 0.0000
0.7459 0.7459 0.0000
0.7459 0.2541 0.0000
0.2541 0.7459 0.0000
0.0000 0.0000 0.0000
```


No. 4
DFT (PBE) results for a relaxed LuTiAlRe crystal.

E_form: -0.20 eV/atom
DFT total energy: -7.35 eV per atom
space-group type: No. 216
magnetic moment: 0.00 μB per cell

```
LuTiAlRe
1.0
4.6517 0.0000 0.0000
2.3259 4.0285 0.0000
2.3259 1.3428 3.7981
Re Lu Al Ti
1 1 1 1
Direct
0.5000 0.5000 0.5000
0.2500 0.2500 0.2500
0.0000 0.0000 0.0000
0.7500 0.7500 0.7500
```